The following is a DFT calculation (GGA-PBE) of a relaxed Nd2TeRh crystal.

abc: 4.2243 4.2243 7.8985
angles: 105.55 105.55 60.02
Last column: nearest neighbours and their distance in Å.
Sites, in units of the cell vectors:
1 Nd 0.2373 0.2373 0.2122  3 Rh 2.91-2.92, 3 Te 3.26
2 Nd 0.7627 0.7627 0.7878  3 Rh 2.91-2.92, 3 Te 3.26
3 Te 0.0000 0.0000 0.5000  6 Nd 3.26
4 Rh 0.5000 0.5000 0.0000  6 Nd 2.91-2.92

Computed properties:
Formation energy (no corrections) in kJ/mol of formula units: -388
Space-group type: C2/m, No. 12
Energy above the lowest structure with this stoichiometry in meV/atom: 4.1
Uncorrected energy in eV/cell: -24.05

The following is a DFT calculation (GGA-PBE) of a relaxed Nd5Te5Rh crystal.

abc: 7.7662 7.7662 8.8184
angles: 107.26 107.26 48.34
Last column: nearest neighbours and their distance in Å.
Sites, in units of the cell vectors:
1 Nd 0.0000 0.0000 0.0000  2 Rh 3.18, 4 Te 3.19-3.21
2 Nd 0.3471 0.3471 0.6874  1 Rh 2.90, 5 Te 3.12-3.25
3 Nd 0.3521 0.3521 0.1504  1 Rh 2.82, 1 Te 3.11
4 Nd 0.6479 0.6479 0.8496  1 Rh 2.82, 1 Te 3.11
5 Nd 0.6529 0.6529 0.3126  1 Rh 2.90, 5 Te 3.12-3.25
6 Te 0.1647 0.1647 0.8254  5 Nd 3.19-3.21
7 Te 0.1819 0.1819 0.3317  5 Nd 3.20-3.30
8 Te 0.5000 0.5000 0.5000  4 Nd 3.11-3.12
9 Te 0.8181 0.8181 0.6683  5 Nd 3.20-3.30
10 Te 0.8353 0.8353 0.1746  5 Nd 3.19-3.21
11 Rh 0.5000 0.5000 0.0000  4 Nd 2.82-2.90

Computed properties:
Formation energy (no corrections) in kJ/mol of formula units: -1332
Space-group type: C2/m, No. 12
Uncorrected energy in eV/cell: -60.70

The following is a DFT calculation (GGA-PBE) of a relaxed Nd4Te3Rh crystal.

abc: 7.7828 7.7828 4.3329
angles: 90.00 90.00 108.41
Last column: nearest neighbours and their distance in Å.
Sites, in units of the cell vectors:
1 Nd 0.2145 0.2145 0.5000  2 Rh 2.92, 2 Te 3.17
2 Nd 0.2347 0.7653 0.0000  1 Rh 2.96, 4 Te 3.15
3 Nd 0.7653 0.2347 0.0000  1 Rh 2.96, 4 Te 3.15
4 Nd 0.7855 0.7855 0.5000  2 Rh 2.92, 2 Te 3.17
5 Te 0.0000 0.5000 0.5000  6 Nd 3.15-3.17
6 Te 0.5000 0.0000 0.5000  6 Nd 3.15-3.17
7 Te 0.5000 0.5000 0.0000  6 Nd 3.35-3.38
8 Rh 0.0000 0.0000 0.0000  6 Nd 2.92-2.96

Computed properties:
Formation energy (no corrections) in kJ/mol of formula units: -937
Space-group type: Cmmm, No. 65
Energy above the lowest structure with this stoichiometry in meV/atom: 0.0
Uncorrected energy in eV/cell: -45.56

The following is a DFT calculation (GGA-PBE) of a relaxed Nd8Te2Rh3 crystal.

abc: 9.1175 9.1175 7.0615
angles: 104.27 104.27 53.15
Last column: nearest neighbours and their distance in Å.
Sites, in units of the cell vectors:
1 Nd 0.0931 0.0931 0.3798  2 Rh 2.78
2 Nd 0.1501 0.6441 0.1020  2 Rh 2.84-2.85
3 Nd 0.3559 0.8499 0.8980  2 Rh 2.84-2.85
4 Nd 0.4025 0.4025 0.5968  3 Rh 2.82-2.85
5 Nd 0.5975 0.5975 0.4032  3 Rh 2.82-2.85
6 Nd 0.6441 0.1501 0.1020  2 Rh 2.84-2.85
7 Nd 0.8499 0.3559 0.8980  2 Rh 2.84-2.85
8 Nd 0.9069 0.9069 0.6202  2 Rh 2.78
9 Te 0.2468 0.2468 0.1625  6 Nd 3.28-3.40
10 Te 0.7532 0.7532 0.8375  6 Nd 3.28-3.40
11 Rh 0.2441 0.7559 0.5000  6 Nd 2.78-2.85
12 Rh 0.5000 0.5000 0.0000  6 Nd 2.84-2.85
13 Rh 0.7559 0.2441 0.5000  6 Nd 2.78-2.85

Computed properties:
Formation energy (no corrections) in kJ/mol of formula units: -873
Space-group type: C2/m, No. 12
Uncorrected energy in eV/cell: -75.53

The following is a DFT calculation (GGA-PBE) of a relaxed Nd4Te3Rh crystal.

abc: 6.3140 10.1904 9.3703
angles: 90.00 90.00 90.00
Last column: nearest neighbours and their distance in Å.
Sites, in units of the cell vectors:
1 Nd 0.2500 0.0321 0.1892  1 Rh 2.68
2 Nd 0.2500 0.2500 0.6351  1 Rh 2.68
3 Nd 0.2500 0.4679 0.1892  1 Rh 2.68
4 Nd 0.2500 0.7500 0.6549  3 Te 3.12-3.17, 2 Rh 3.16
5 Nd 0.7500 0.2500 0.3451  3 Te 3.12-3.17, 2 Rh 3.16
6 Nd 0.7500 0.5321 0.8108  1 Rh 2.68
7 Nd 0.7500 0.7500 0.3649  1 Rh 2.68
8 Nd 0.7500 0.9679 0.8108  1 Rh 2.68
9 Te 0.2500 0.0052 0.8476  5 Nd 3.17-3.21
10 Te 0.2500 0.4948 0.8476  5 Nd 3.17-3.21
11 Te 0.2500 0.7500 0.3219  5 Nd 3.12-3.18
12 Te 0.7500 0.2500 0.6781  5 Nd 3.12-3.18
13 Te 0.7500 0.5052 0.1524  5 Nd 3.17-3.21
14 Te 0.7500 0.9948 0.1524  5 Nd 3.17-3.21
15 Rh 0.2500 0.2500 0.3496  3 Nd 2.68
16 Rh 0.7500 0.7500 0.6504  3 Nd 2.68

Computed properties:
Formation energy (no corrections) in kJ/mol of formula units: -750
Space-group type: Pmmn, No. 59
Energy above the lowest structure with this stoichiometry in meV/atom: 242.0
Uncorrected energy in eV/cell: -87.24

The following is a DFT calculation (GGA-PBE) of a relaxed NdTeRh crystal.

abc: 4.5214 4.5214 4.0436
angles: 90.00 90.00 120.00
Last column: nearest neighbours and their distance in Å.
Sites, in units of the cell vectors:
1 Nd 0.0000 0.0000 0.0000  6 Rh 3.19-3.42, 6 Te 3.28-3.32
2 Te 0.6667 0.3333 0.5086  3 Rh 2.62
3 Rh 0.3333 0.6667 0.4552  3 Te 2.62

Computed properties:
Formation energy (no corrections) in kJ/mol of formula units: -303
Space-group type: P3m1, No. 156
Uncorrected energy in eV/cell: -18.40

The following is a DFT calculation (GGA-PBE) of a relaxed Nd3Te2Rh crystal.

abc: 7.7988 7.7988 8.4597
angles: 105.74 105.74 47.93
Last column: nearest neighbours and their distance in Å.
Sites, in units of the cell vectors:
1 Nd 0.0005 0.9995 0.7500  2 Rh 3.17, 4 Te 3.21
2 Nd 0.3618 0.3617 0.4312  2 Rh 2.83
3 Nd 0.3617 0.3618 0.9312  2 Rh 2.83
4 Nd 0.6383 0.6382 0.0688  2 Rh 2.83
5 Nd 0.6382 0.6383 0.5688  2 Rh 2.83
6 Nd 0.9995 0.0005 0.2500  2 Rh 3.17, 4 Te 3.21
7 Te 0.1777 0.1776 0.0889  6 Nd 3.21-3.28
8 Te 0.1776 0.1777 0.5889  6 Nd 3.21-3.28
9 Te 0.8224 0.8223 0.4111  6 Nd 3.21-3.28
10 Te 0.8223 0.8224 0.9111  6 Nd 3.21-3.28
11 Rh 0.4997 0.5003 0.2500  5 Nd 2.83-3.17
12 Rh 0.5003 0.4997 0.7500  5 Nd 2.83-3.17

Computed properties:
Formation energy (no corrections) in kJ/mol of formula units: -655
Space-group type: C2/c, No. 15
Energy above the lowest structure with this stoichiometry in meV/atom: 0.0
Uncorrected energy in eV/cell: -69.45

The following is a DFT calculation (GGA-PBE) of a relaxed Nd2TeRh crystal.

abc: 3.7126 3.7126 7.5369
angles: 90.00 90.00 90.00
Last column: nearest neighbours and their distance in Å.
Sites, in units of the cell vectors:
1 Nd 0.0000 0.0000 0.2253  4 Rh 3.13, 4 Te 3.34, 1 Nd 3.40
2 Nd 0.0000 0.0000 0.7747  4 Rh 3.13, 4 Te 3.34, 1 Nd 3.40
3 Te 0.5000 0.5000 0.5000  8 Nd 3.34, 4 Te 3.71
4 Rh 0.5000 0.5000 0.0000  8 Nd 3.13

Computed properties:
Formation energy (no corrections) in kJ/mol of formula units: -345
Space-group type: P4/mmm, No. 123
Energy above the lowest structure with this stoichiometry in meV/atom: 117.1
Uncorrected energy in eV/cell: -23.60

The following is a DFT calculation (GGA-PBE) of a relaxed Nd4TeRh crystal.

abc: 10.0593 10.0593 9.8881
angles: 113.79 113.79 32.46
Last column: nearest neighbours and their distance in Å.
Sites, in units of the cell vectors:
1 Nd 0.0278 0.0278 0.2115  2 Rh 2.70-2.96
2 Nd 0.2004 0.2004 0.8957  1 Rh 2.74
3 Nd 0.2535 0.2535 0.3323  1 Rh 2.86, 2 Te 3.19
4 Nd 0.4005 0.4005 0.9773  2 Rh 2.84
5 Nd 0.5995 0.5995 0.0227  2 Rh 2.84
6 Nd 0.7465 0.7465 0.6677  1 Rh 2.86, 2 Te 3.19
7 Nd 0.7996 0.7996 0.1043  1 Rh 2.74
8 Nd 0.9722 0.9722 0.7885  2 Rh 2.70-2.96
9 Te 0.1659 0.1659 0.5481  5 Nd 3.19-3.28
10 Te 0.8341 0.8341 0.4519  5 Nd 3.19-3.28
11 Rh 0.1168 0.1168 0.0617  6 Nd 2.70-2.96
12 Rh 0.8832 0.8832 0.9383  6 Nd 2.70-2.96

Computed properties:
Formation energy (no corrections) in kJ/mol of formula units: -269
Space-group type: C2/m, No. 12
Uncorrected energy in eV/cell: -64.71

The following is a DFT calculation (GGA-PBE) of a relaxed Nd2TeRh crystal.

abc: 7.9850 7.9850 7.9850
angles: 30.58 30.58 30.58
Last column: nearest neighbours and their distance in Å.
Sites, in units of the cell vectors:
1 Nd 0.0000 0.0000 0.0000  3 Rh 2.92
2 Nd 0.1932 0.1932 0.1932  3 Rh 2.90
3 Te 0.4302 0.4302 0.4302  6 Nd 3.28-3.29
4 Rh 0.5959 0.5959 0.5959  6 Nd 2.90-2.92

Computed properties:
Formation energy (no corrections) in kJ/mol of formula units: -382
Space-group type: R3m, No. 160
Energy above the lowest structure with this stoichiometry in meV/atom: 20.9
Uncorrected energy in eV/cell: -23.99

The following is a DFT calculation (GGA-PBE) of a relaxed NdTh2Rh crystal.

abc: 3.6739 3.6739 8.3287
angles: 90.00 90.00 90.00
Last column: nearest neighbours and their distance in Å.
Sites, in units of the cell vectors:
1 Nd 0.0000 0.0000 0.0000  8 Th 3.62, 4 Nd 3.67
2 Th 0.5000 0.5000 0.3022  4 Rh 3.08, 1 Th 3.29
3 Th 0.5000 0.5000 0.6978  4 Rh 3.08, 1 Th 3.29
4 Rh 0.0000 0.0000 0.5000  8 Th 3.08

Computed properties:
Energy of formation in eV per atom: -0.305
Space-group type: P4/mmm, No. 123
Energy above the lowest structure with this stoichiometry in meV/atom: 146.8
Uncorrected energy in eV/cell: -28.18

The following is a DFT calculation (GGA-PBE) of a relaxed NdThRh2 crystal.

abc: 3.5675 3.5675 7.1608
angles: 90.00 90.00 90.00
Last column: nearest neighbours and their distance in Å.
Sites, in units of the cell vectors:
1 Nd 0.0000 0.0000 0.0000  8 Rh 3.21, 4 Nd 3.57, 2 Th 3.58
2 Th 0.0000 0.0000 0.5000  8 Rh 2.99
3 Rh 0.5000 0.5000 0.2770  4 Th 2.99, 1 Rh 3.19, 4 Nd 3.21
4 Rh 0.5000 0.5000 0.7230  4 Th 2.99, 1 Rh 3.19, 4 Nd 3.21

Computed properties:
Energy of formation in eV per atom: -0.739
Space-group type: P4/mmm, No. 123
Energy above the lowest structure with this stoichiometry in meV/atom: 96.0
Uncorrected energy in eV/cell: -29.85